No. 1
Compound: BaSmNbN3
Source: Alexandria
Functional: PBE-GGA
Structure: optimized geometry

Cell: 7.237 7.237 7.790 Å, 104.61 104.61 32.71°
Fractional coordinates of all 12 atoms:
Ba1 0.149 0.149 0.078
Ba2 0.851 0.851 0.922
Sm1 0.157 0.157 0.576
Sm2 0.843 0.843 0.424
Nb1 0.498 0.498 0.699
Nb2 0.502 0.502 0.301
N1 0.005 0.005 0.322
N2 0.340 0.340 0.650
N3 0.352 0.352 0.203
N4 0.648 0.648 0.797
N5 0.660 0.660 0.350
N6 0.995 0.995 0.678

Energy: -7.87 eV/atom

---

No. 2
Compound: BaNb2SnN
Source: Alexandria
Functional: PBE-GGA
Structure: optimized geometry

Cell: 5.363 5.363 4.261 Å, 90.00 90.00 90.00°
Fractional coordinates of all 5 atoms:
Ba1 0.000 0.000 0.000
Nb1 0.000 0.500 0.000
Nb2 0.500 0.000 0.000
Sn1 0.500 0.500 0.500
N1 0.000 0.000 0.500

Fermi-level density of states: 1.342 states/eV/atom
Energy: -4.54 eV/atom

---

No. 3
Compound: BaSrNbN3
Source: Alexandria
Functional: PBE-GGA
Structure: optimized geometry

Cell: 7.392 7.392 7.975 Å, 105.53 105.53 32.88°
Fractional coordinates of all 12 atoms:
Ba1 0.146 0.146 0.072
Ba2 0.854 0.854 0.928
Sr1 0.159 0.159 0.581
Sr2 0.841 0.841 0.419
Nb1 0.499 0.499 0.699
Nb2 0.501 0.501 0.301
N1 0.001 0.001 0.298
N2 0.354 0.354 0.679
N3 0.357 0.357 0.176
N4 0.643 0.643 0.824
N5 0.646 0.646 0.321
N6 0.999 0.999 0.702

Fermi-level density of states: 0.244 states/eV/atom
Energy: -7.01 eV/atom